A plane-wave DFT calculation with PBE was carried out for a relaxed structure of Ac6Ir2Se3I.

The structure in CIF format:
```
data_Ac6Ir2Se3I
_symmetry_space_group_name_H-M 'P 1'
_symmetry_Int_Tables_number 1
_cell_length_a 10.1168
_cell_length_b 10.1168
_cell_length_c 9.4258
_cell_angle_alpha 104.20
_cell_angle_beta 104.20
_cell_angle_gamma 25.08
loop_
_symmetry_equiv_pos_as_xyz
'x,y,z'
loop_
_atom_site_label
_atom_site_type_symbol
_atom_site_fract_x
_atom_site_fract_y
_atom_site_fract_z
Ac1 Ac 0.0143 0.0143 0.2795
Ac2 Ac 0.3198 0.3198 0.8772
Ac3 Ac 0.3255 0.3255 0.4347
Ac4 Ac 0.6745 0.6745 0.5653
Ac5 Ac 0.6802 0.6802 0.1228
Ac6 Ac 0.9857 0.9857 0.7205
Ir1 Ir 0.1690 0.1690 0.3353
Ir2 Ir 0.8310 0.8310 0.6647
Se1 Se 0.1543 0.1543 0.8434
Se2 Se 0.5000 0.5000 0.5000
Se3 Se 0.8457 0.8457 0.1566
I1 I 0.5000 0.5000 0.0000
```

* space-group type: No. 12
* spin magnetization: 0.000 μB per formula unit
* energy relative to the elements, uncorrected: -1.333 eV per atom